Record 1
# AcPmPuO6

A geometry-optimized AcPmPuO6 structure (PBE-GGA, Alexandria via LeMat-Bulk).

Summary:
The formation energy without anion corrections comes out at -3042 meV/atom. The calculation puts the total magnetic moment at 4.0 μB/cell.

abc: 5.9461 5.9461 10.1422
angles: 90.00 90.00 120.00
Fractional positions:
O (0.6595, 0.0344, 0.3602)
O (0.6251, 0.9656, 0.8602)
O (0.9656, 0.6251, 0.3602)
O (0.0344, 0.6595, 0.8602)
O (0.9656, 0.3405, 0.1398)
O (0.0344, 0.3749, 0.6398)
O (0.6595, 0.6251, 0.1398)
O (0.6251, 0.6595, 0.6398)
O (0.3749, 0.0344, 0.1398)
O (0.3405, 0.3749, 0.8602)
O (0.3405, 0.9656, 0.6398)
O (0.3749, 0.3405, 0.3602)
Pm (0.3333, 0.6667, 0.2500)
Pm (0.6667, 0.3333, 0.7500)
Pu (0.6667, 0.3333, 0.2500)
Pu (0.3333, 0.6667, 0.7500)
Ac (0.0000, 0.0000, 0.5000)
Ac (0.0000, 0.0000, 0.0000)

Record 2
# ZnSe2Br

A geometry-optimized ZnSe2Br structure (PBE-GGA, Alexandria via LeMat-Bulk).

Summary:
The formation energy without anion corrections comes out at -36 meV/atom. The excess energy over the best structure of this formula in the dataset is 0.255 eV per atom. The calculation puts the total magnetic moment at 0.0 μB/cell.

abc: 9.0133 9.0133 9.0133
angles: 23.62 23.62 23.62
Fractional positions:
Se (0.9708, 0.9708, 0.9708)
Se (0.2373, 0.2373, 0.2373)
Zn (0.5087, 0.5087, 0.5087)
Br (0.7832, 0.7832, 0.7832)

Record 3
# BaTaCr

A geometry-optimized BaTaCr structure (PBE-GGA, Alexandria via LeMat-Bulk).

Summary:
For the energy relative to the elements, the calculation gives 2.299 eV/atom. The excess energy over the best structure of this formula in the dataset is 1.474 eV per atom. The calculation puts the total magnetic moment at 2.5 μB/cell.

abc: 4.9259 4.9259 4.9259
angles: 60.00 60.00 60.00
Fractional positions:
Ta (0.5000, 0.5000, 0.5000)
Ba (0.7500, 0.7500, 0.7500)
Cr (0.0000, 0.0000, 0.0000)

Record 4
# TiSbBr2

A geometry-optimized TiSbBr2 structure (PBE-GGA, Alexandria via LeMat-Bulk).

Summary:
The formation energy without anion corrections comes out at 198 meV/atom. The excess energy over the best structure of this formula in the dataset is 0.743 eV per atom. The calculation puts the total magnetic moment at 0.0 μB/cell.

abc: 5.0236 5.0236 5.0236
angles: 60.00 60.00 60.00
Fractional positions:
Ti (0.0000, 0.0000, 0.0000)
Br (0.2500, 0.2500, 0.2500)
Br (0.7500, 0.7500, 0.7500)
Sb (0.5000, 0.5000, 0.5000)

Record 5
# Y4C3

A geometry-optimized Y4C3 structure (PBE-GGA, Alexandria via LeMat-Bulk).

Summary:
For the energy relative to the elements, the calculation gives 1.311 eV/atom. The excess energy over the best structure of this formula in the dataset is 1.541 eV per atom. The calculation puts the total magnetic moment at 0.0 μB/cell.

abc: 5.1798 5.1798 5.2370
angles: 90.00 90.00 120.00
Fractional positions:
C (0.5000, 0.0000, 0.0000)
C (0.5000, 0.5000, 0.0000)
C (0.0000, 0.5000, 0.0000)
Y (0.6667, 0.3333, 0.5000)
Y (0.0000, 0.0000, 0.2282)
Y (0.3333, 0.6667, 0.5000)
Y (0.0000, 0.0000, 0.7718)

Record 6
# MnAgRh2

A geometry-optimized MnAgRh2 structure (PBE-GGA, Alexandria via LeMat-Bulk).

Summary:
For the energy relative to the elements, the calculation gives 0.044 eV/atom. The excess energy over the best structure of this formula in the dataset is 0.000 eV per atom. The calculation puts the total magnetic moment at 2.9 μB/cell.

abc: 2.8098 2.8098 7.5074
angles: 90.00 90.00 90.00
Fractional positions:
Mn (0.5000, 0.5000, 0.7500)
Rh (0.0000, 0.0000, 0.9669)
Rh (0.0000, 0.0000, 0.5331)
Ag (0.5000, 0.5000, 0.2500)

Record 7
# Sr3In2Au9

A geometry-optimized Sr3In2Au9 structure (PBE-GGA, Alexandria via LeMat-Bulk).

Summary:
For the energy relative to the elements, the calculation gives -0.550 eV/atom. The calculation puts the total magnetic moment at 0.0 μB/cell.

abc: 4.6316 8.9637 8.9637
angles: 69.56 75.03 75.03
Fractional positions:
Sr (0.7086, 0.2914, 0.2914)
Sr (0.0000, 0.0000, 0.0000)
Sr (0.2914, 0.7086, 0.7086)
Au (0.3416, 0.0243, 0.2924)
Au (0.1367, 0.1537, 0.5729)
Au (0.1367, 0.5729, 0.1537)
Au (0.0000, 0.5000, 0.5000)
Au (0.3416, 0.2924, 0.0243)
Au (0.6584, 0.9757, 0.7076)
Au (0.8633, 0.8463, 0.4271)
Au (0.6584, 0.7076, 0.9757)
Au (0.8633, 0.4271, 0.8463)
In (0.5000, 0.3088, 0.6912)
In (0.5000, 0.6912, 0.3088)

Record 8
# Y3MgTl

A geometry-optimized Y3MgTl structure (PBE-GGA, Alexandria via LeMat-Bulk).

Summary:
For the energy relative to the elements, the calculation gives 0.365 eV/atom. The excess energy over the best structure of this formula in the dataset is 0.575 eV per atom. The calculation puts the total magnetic moment at 2.0 μB/cell.

abc: 5.7437 5.7437 5.7437
angles: 90.00 90.00 90.00
Fractional positions:
Mg (0.5000, 0.5000, 0.5000)
Tl (0.0000, 0.0000, 0.0000)
Y (0.5000, 0.0000, 0.0000)
Y (0.0000, 0.5000, 0.0000)
Y (0.0000, 0.0000, 0.5000)

Q: Number 2 is which compound?
A: ZnSe2Br

Q: What is the formula in the eighth record?
A: Y3MgTl